No. 1
A relaxed structure of ZrCuPt2. Source: Alexandria, functional GGA-PBE.

```
ZrCuPt2
1.0
-4.014 -1.790 1.137
-3.370 2.695 1.410
-3.622 0.681 -2.651
Pt Cu Zr
2 1 1
direct
0.750 0.750 0.750
0.250 0.250 0.250
0.000 0.000 0.000
0.500 0.500 0.500
```

Output
Formation energy from the elements   -0.7047 eV per atom
E   -27.54 eV/cell
DOS(E_F)   0.62 states/eV per atom

No. 2
A relaxed structure of AcMg5Hg3. Source: Alexandria, functional GGA-PBE.

```
AcMg5Hg3
1.0
4.347 0.000 0.000
-2.173 7.490 0.000
0.000 0.000 14.032
Mg Hg Ac
10 6 2
direct
0.559 0.118 0.644
0.196 0.391 0.944
0.804 0.609 0.444
0.441 0.882 0.356
0.000 0.000 0.500
0.000 0.000 0.000
0.559 0.118 0.856
0.441 0.882 0.144
0.196 0.391 0.556
0.804 0.609 0.056
0.618 0.235 0.435
0.382 0.765 0.935
0.140 0.280 0.750
0.382 0.765 0.565
0.618 0.235 0.065
0.860 0.720 0.250
0.835 0.670 0.750
0.165 0.330 0.250
```

Output
Formation energy from the elements   -0.2583 eV per atom
E   -30.62 eV/cell
DOS(E_F)   0.52 states/eV per atom

No. 3
A relaxed structure of Ac3Pm2PrTe6. Source: Alexandria, functional GGA-PBE.

```
Ac3Pm2PrTe6
1.0
4.584 0.000 0.000
0.000 9.276 0.290
-2.292 -2.716 9.689
Ac Te Pm Pr
3 6 2 1
direct
0.165 0.833 0.331
0.500 0.500 0.000
0.835 0.167 0.669
0.335 0.906 0.670
0.996 0.756 0.991
0.329 0.426 0.659
0.004 0.244 0.009
0.665 0.094 0.330
0.671 0.574 0.341
0.166 0.333 0.333
0.834 0.667 0.667
0.500 0.000 0.000
```

Output
E   -62.88 eV/cell
DOS(E_F)   0.58 states/eV per atom
Energy relative to the elements, uncorrected   -1.45 eV/atom